No. 1
! CdPtAu2 GGA-PBE optimized geometry; values from VASP
! ρ   16.28 g cm⁻³
! Calculated total energy   -3.472 eV/atom
! Formation energy   -95 meV/atom
! Total moment   0.00 Bohr magnetons per cell
&SYSTEM
  ibrav = 0, nat = 4, ntyp = 3
/
ATOMIC_SPECIES
Cd 112.41 Cd.upf
Pt 195.08 Pt.upf
Au 196.97 Au.upf
ATOMIC_POSITIONS angstrom
Cd 0.0000 0.0000 0.0000
Pt 2.9286 0.0000 0.0000
Au 1.4643 1.9896 1.5344
Au 1.4643 -1.9896 1.5344
CELL_PARAMETERS angstrom
2.9286 -3.9791 0.0000
2.9286 3.9791 0.0000
0.0000 0.0000 3.0688



No. 2
! Sm2ThAg GGA-PBE optimized geometry; values from VASP
! ρ   9.19 g cm⁻³
! Calculated total energy   -5.055 eV/atom
! Formation energy   -127 meV/atom
! Total moment   0.00 Bohr magnetons per cell
&SYSTEM
  ibrav = 0, nat = 4, ntyp = 3
/
ATOMIC_SPECIES
Sm 150.36 Sm.upf
Th 232.04 Th.upf
Ag 107.87 Ag.upf
ATOMIC_POSITIONS angstrom
Sm 0.0000 0.0000 1.8937
Sm 0.0000 0.0000 6.6739
Th 1.8374 1.8374 4.2838
Ag 1.8374 1.8374 0.0000
CELL_PARAMETERS angstrom
3.6748 0.0000 0.0000
0.0000 3.6748 0.0000
0.0000 0.0000 8.5676



No. 3
! Hf2AsS GGA-PBE optimized geometry; values from VASP
! ρ   11.00 g cm⁻³
! Calculated total energy   -8.096 eV/atom
! Uncorrected formation energy   -0.9251 eV per atom
! Total moment   0.00 Bohr magnetons per cell
&SYSTEM
  ibrav = 0, nat = 4, ntyp = 3
/
ATOMIC_SPECIES
Hf 178.49 Hf.upf
As 74.92 As.upf
S 32.06 S.upf
ATOMIC_POSITIONS angstrom
Hf 1.6357 1.6357 1.6357
Hf 4.9071 4.9071 4.9071
As 0.0000 0.0000 0.0000
S 3.2714 3.2714 3.2714
CELL_PARAMETERS angstrom
0.0000 3.2714 3.2714
3.2714 0.0000 3.2714
3.2714 3.2714 0.0000



No. 4
! Ce2Pr8Dy GGA-PBE optimized geometry; values from VASP
! ρ   6.73 g cm⁻³
! Calculated total energy   -4.818 eV/atom
! Formation energy   155 meV/atom
! Total moment   1.67 Bohr magnetons per cell
&SYSTEM
  ibrav = 0, nat = 11, ntyp = 3
/
ATOMIC_SPECIES
Ce 140.12 Ce.upf
Pr 140.91 Pr.upf
Dy 162.50 Dy.upf
ATOMIC_POSITIONS angstrom
Ce 0.0000 0.0000 3.2468
Ce 0.0000 0.0000 12.9354
Pr 2.8422 1.7339 -2.2577
Pr 0.0000 1.7146 0.0000
Pr 2.8422 0.0000 5.5502
Pr 2.8422 1.7339 2.2577
Pr 0.0000 2.4773 5.8334
Pr 0.0000 4.2111 2.5409
Pr 0.0000 6.7076 0.0000
Pr 0.0000 2.4773 10.3488
Dy 0.0000 0.0000 8.0911
CELL_PARAMETERS angstrom
-2.8422 4.2111 8.0911
2.8422 -4.2111 8.0911
2.8422 4.2111 -8.0911



No. 5
! MnCuTe2 GGA-PBE optimized geometry; values from VASP
! ρ   6.95 g cm⁻³
! Calculated total energy   -4.855 eV/atom
! Uncorrected formation energy   0.0324 eV per atom
! Total moment   3.97 Bohr magnetons per cell
&SYSTEM
  ibrav = 0, nat = 4, ntyp = 3
/
ATOMIC_SPECIES
Mn 54.94 Mn.upf
Cu 63.55 Cu.upf
Te 127.60 Te.upf
ATOMIC_POSITIONS angstrom
Mn 0.0000 0.0000 0.0000
Cu 0.0000 0.0000 3.2429
Te 0.0000 0.0000 11.6392
Te 0.0000 0.0000 15.1468
CELL_PARAMETERS angstrom
1.9593 1.1312 6.7131
-1.9593 1.1312 6.7131
0.0000 -2.2624 6.7131



No. 6
! BaGeSb2Te GGA-PBE optimized geometry; values from VASP
! ρ   5.66 g cm⁻³
! Calculated total energy   -3.778 eV/atom
! Uncorrected formation energy   -0.1923 eV per atom
! Total moment   0.00 Bohr magnetons per cell
&SYSTEM
  ibrav = 0, nat = 5, ntyp = 4
/
ATOMIC_SPECIES
Ba 137.33 Ba.upf
Ge 72.64 Ge.upf
Sb 121.76 Sb.upf
Te 127.60 Te.upf
ATOMIC_POSITIONS angstrom
Ba 0.0000 0.0000 0.0000
Ge 2.7252 2.7252 2.8705
Sb 0.0000 2.7252 2.8705
Sb 2.7252 0.0000 2.8705
Te 2.7252 2.7252 0.0000
CELL_PARAMETERS angstrom
5.4504 0.0000 0.0000
0.0000 5.4504 0.0000
0.0000 0.0000 5.7409



No. 7
! IrPd2Pt2 GGA-PBE optimized geometry; values from VASP
! ρ   15.84 g cm⁻³
! Calculated total energy   -5.877 eV/atom
! Formation energy   389 meV/atom
! Total moment   1.98 Bohr magnetons per cell
&SYSTEM
  ibrav = 0, nat = 10, ntyp = 3
/
ATOMIC_SPECIES
Ir 192.22 Ir.upf
Pd 106.42 Pd.upf
Pt 195.08 Pt.upf
ATOMIC_POSITIONS angstrom
Ir 0.0000 0.0000 0.0000
Ir 3.3336 3.3336 0.0000
Pd 1.0656 2.2679 1.8759
Pd 2.2679 5.6015 1.8759
Pd 4.3992 1.0656 1.8759
Pd 5.6015 4.3992 1.8759
Pt 0.9371 4.2707 0.0000
Pt 2.3965 0.9371 0.0000
Pt 4.2707 5.7300 0.0000
Pt 5.7300 2.3965 0.0000
CELL_PARAMETERS angstrom
6.6672 0.0000 0.0000
0.0000 6.6672 0.0000
0.0000 0.0000 3.7519



No. 8
! YHf4Mg2 GGA-PBE optimized geometry; values from VASP
! ρ   7.39 g cm⁻³
! Calculated total energy   -5.696 eV/atom
! Formation energy   1371 meV/atom
! Total moment   0.00 Bohr magnetons per cell
&SYSTEM
  ibrav = 0, nat = 7, ntyp = 3
/
ATOMIC_SPECIES
Y 88.91 Y.upf
Hf 178.49 Hf.upf
Mg 24.30 Mg.upf
ATOMIC_POSITIONS angstrom
Y 0.0000 0.0000 0.0000
Hf 2.5168 0.0000 0.0000
Hf 0.0000 0.0000 2.8031
Hf 0.0000 2.5168 0.0000
Hf 0.0000 0.0000 12.3035
Mg 0.0000 0.0000 5.7283
Mg 0.0000 0.0000 9.3783
CELL_PARAMETERS angstrom
-2.5168 2.5168 7.5533
2.5168 -2.5168 7.5533
2.5168 2.5168 -7.5533